## ScTa2Sb2 (PBE-GGA)

Data for an optimized crystal structure of ScTa2Sb2.

abc: 7.760 7.760 3.487
angles: 90.00 90.00 90.00
Atoms (fractional coordinates):
Sc 0.000 0.000 0.000
Sc 0.500 0.500 0.000
Sb 0.347 0.847 0.000
Sb 0.847 0.653 0.000
Sb 0.653 0.153 0.000
Sb 0.153 0.347 0.000
Ta 0.138 0.638 0.500
Ta 0.638 0.862 0.500
Ta 0.862 0.362 0.500
Ta 0.362 0.138 0.500

## Properties
* spin magnetization: 0.0 μB per formula unit
* symmetry: P4/mbm
* Fermi-level density of states: 0.98 states/eV per atom
* total DFT energy (no corrections): -7.73 eV/atom
* density: 10.3 Mg/m³
* crystal system: tetragonal